# 1
Material: Be3InSe
Method: DFT, PBE
State: relaxed

The crystal system is cubic. For the density of states at the Fermi level, the calculation gives 4.5 states/eV per cell. The value obtained for the uncorrected formation energy is 1.10 eV/atom. The calculation puts the calculated total energy at -2.38 eV/atom. The energy above the most stable polymorph in this dataset comes out at 1.20 eV/f.u.

The space group is Pm-3m (No. 221) and the conventional cell measures 4.593, 4.593 and 4.593 Å, with angles of 90.00, 90.00 and 90.00 degrees. Symmetry generates all atoms from Be at (0.000, 0.000, 0.500), In at (0.000, 0.000, 0.000) and Se at (0.500, 0.500, 0.500).

***

# 2
Material: BeInSe2
Method: DFT, PBE
State: relaxed

The crystal system is orthorhombic. For the density of states at the Fermi level, the calculation gives 1.5 states/eV per cell. The value obtained for the uncorrected formation energy is -0.14 eV/atom. The calculation puts the calculated total energy at -3.50 eV/atom. The energy above the most stable polymorph in this dataset comes out at 1.23 eV/f.u.

The space group is Cmmm (No. 65) and the conventional cell measures 3.561, 8.888 and 7.422 Å, with angles of 90.00, 90.00 and 90.00 degrees. Symmetry generates all atoms from Be at (0.000, 0.000, 0.000), In at (0.000, 0.000, 0.500) and Se at (0.000, 0.500, 0.201).

***

# 3
Material: Ta2BeInSe
Method: DFT, PBE
State: relaxed

The crystal system is tetragonal. For the density of states at the Fermi level, the calculation gives 4.6 states/eV per cell. The value obtained for the uncorrected formation energy is 1.42 eV/atom. The calculation puts the calculated total energy at -5.31 eV/atom.

The space group is P4/mmm (No. 123) and the conventional cell measures 4.725, 4.725 and 5.228 Å, with angles of 90.00, 90.00 and 90.00 degrees. Symmetry generates all atoms from Ta at (0.000, 0.500, 0.000), Be at (0.000, 0.000, 0.500), In at (0.500, 0.500, 0.500) and Se at (0.500, 0.500, 0.000).